[1]
Computed, not measured: crystalline Pm2NdSm5 at its relaxed geometry at the PBE-GGA level of DFT.

Summary:
**Total energy**: -73.0 eV for the cell shown
**Fermi-level density of states**: 24.769 states/eV per cell
**Distance to the lowest polymorph of the same formula**: 0.154 eV/atom
**Energy of formation from the pure elements**: 168 meV/atom

a = 5.9205 Å, b = 11.2567 Å, c = 8.7230 Å
α = 90.00°, β = 107.05°, γ = 90.00°
Space group P2_1/m (No. 11)
Inequivalent atoms, fractional coordinates:
Pm1 0.1223 0.1154 0.0499 (multiplicity 4)
Nd1 0.4981 0.2500 0.8456 (multiplicity 2)
Sm1 0.1937 0.5829 0.3801 (multiplicity 4)
Sm2 0.2390 0.2500 0.4270 (multiplicity 2)
Sm3 0.3327 0.5763 0.7884 (multiplicity 4)

[2]
Computed, not measured: crystalline Nd8Si3S4Cl at its relaxed geometry at the PBE-GGA level of DFT.

Summary:
**Total energy**: -290.2 eV for the cell shown
**Fermi-level density of states**: 14.056 states/eV per cell
**E_form (uncorrected)**: -1.498 eV/atom

a = 8.3504 Å, b = 8.3504 Å, c = 20.3545 Å
α = 90.00°, β = 90.00°, γ = 120.00°
Space group R-3m (No. 166, hexagonal axes)
Inequivalent atoms, fractional coordinates:
Nd1 0.0000 0.0000 0.2498 (multiplicity 6)
Nd2 0.0108 0.5054 0.2489 (multiplicity 18)
Si1 0.0000 0.5000 0.0000 (multiplicity 9)
S1 0.0000 0.0000 0.5000 (multiplicity 3)
S2 0.0000 0.5000 0.5000 (multiplicity 9)
Cl1 0.0000 0.0000 0.0000 (multiplicity 3)

[3]
Computed, not measured: crystalline RbPdAuSe2 at its relaxed geometry at the PBE-GGA level of DFT.

Summary:
**Total energy**: -75.3 eV for the cell shown
**Fermi-level density of states**: 8.666 states/eV per cell
**E_form (uncorrected)**: -0.481 eV/atom

a = 6.2611 Å, b = 11.9375 Å, c = 7.7836 Å
α = 90.00°, β = 90.00°, γ = 90.00°
Space group Cmme (No. 67)
Inequivalent atoms, fractional coordinates:
Rb1 0.0000 0.2500 0.2288 (multiplicity 4)
Pd1 0.2500 0.0000 0.0000 (multiplicity 4)
Au1 0.0000 0.0000 0.5000 (multiplicity 4)
Se1 0.0000 0.0876 0.7876 (multiplicity 8)

[4]
Computed, not measured: crystalline GeBiHPb2 at its relaxed geometry at the PBE-GGA level of DFT.

Summary:
**Total energy**: -18.3 eV for the cell shown
**Fermi-level density of states**: 1.036 states/eV per cell

a = 5.9529 Å, b = 5.9529 Å, c = 3.5252 Å
α = 90.00°, β = 90.00°, γ = 90.00°
Space group P4/mmm (No. 123)
Inequivalent atoms, fractional coordinates:
Ge1 0.0000 0.0000 0.0000 (multiplicity 1)
Bi1 0.5000 0.5000 0.5000 (multiplicity 1)
H1 0.0000 0.0000 0.5000 (multiplicity 1)
Pb1 0.0000 0.5000 0.0000 (multiplicity 2)